Compound: NbAsW
Source: Alexandria
Functional: PBE
Structure: relaxed

a = 5.099 Å, b = 5.099 Å, c = 6.437 Å
α = 102.66°, β = 102.66°, γ = 38.38°
Fractional positions:
Nb 0.000 0.000 0.000
Nb 0.653 0.653 0.730
As 0.032 0.032 0.420
As 0.296 0.296 0.019
W 0.355 0.355 0.618
W 0.736 0.736 0.292

Calculated values
total energy = -9.320 eV per atom
magnetization = 0.00 μB/atom


Compound: NbAs2W2
Source: Alexandria
Functional: PBE
Structure: relaxed

a = 5.578 Å, b = 5.578 Å, c = 5.578 Å
α = 133.46°, β = 133.46°, γ = 67.93°
Fractional positions:
Nb 0.000 0.000 0.000
As 0.372 0.372 0.000
As 0.628 0.628 0.000
W 0.250 0.750 0.500
W 0.750 0.250 0.500

Calculated values
total energy = -8.550 eV per atom
magnetization = 0.00 μB/atom


Compound: NbAsW
Source: Alexandria
Functional: PBE
Structure: relaxed

a = 3.163 Å, b = 4.882 Å, c = 6.931 Å
α = 81.31°, β = 83.89°, γ = 75.94°
Fractional positions:
Nb 0.000 0.000 0.000
Nb 0.176 0.050 0.388
As 0.528 0.179 0.689
As 0.860 0.616 0.350
W 0.497 0.474 0.082
W 0.846 0.603 0.731

Calculated values
total energy = -9.248 eV per atom
magnetization = 0.00 μB/atom


| no. | energy of formation from the pure elements (meV per atom) | distance to the lowest polymorph of the same formula (meV/atom) |
| --- | --- | --- |
| 1 | -96 | 0.0 |
| 2 | 505 | 300.6 |
| 3 | -24 | 72.4 |